# Li2La2InPt5

A geometry-optimized Li2La2InPt5 structure (PBE-GGA, the Alexandria database).

```
Li2La2InPt5
1.0
-2.285 0.688 3.108
-1.044 -9.484 1.331
7.757 -0.051 5.713
Li La In Pt
4 4 2 10
direct
0.000 0.118 0.618 Li
0.000 0.882 0.382 Li
0.000 0.618 0.882 Li
0.000 0.382 0.118 Li
0.000 0.680 0.180 La
0.000 0.320 0.820 La
0.000 0.180 0.320 La
0.000 0.820 0.680 La
0.000 0.000 0.000 In
0.000 0.500 0.500 In
0.500 0.214 0.067 Pt
0.500 0.786 0.933 Pt
0.500 0.067 0.786 Pt
0.500 0.714 0.433 Pt
0.500 0.933 0.214 Pt
0.500 0.286 0.567 Pt
0.500 0.567 0.714 Pt
0.500 0.433 0.286 Pt
0.500 0.500 0.000 Pt
0.500 0.000 0.500 Pt
```

Calculated values
DOS(E_F), states/eV per atom: 0.3903
Crystal system: tetragonal
Calculated formation energy, eV/atom: -0.848
SG: P4/mbm, No. 127


# LiLa2InPt

A geometry-optimized LiLa2InPt structure (PBE-GGA, the Alexandria database).

```
LiLa2InPt
1.0
4.221 0.000 0.000
0.000 8.338 0.318
0.000 -3.190 7.718
Li La In Pt
2 4 2 2
direct
0.250 0.564 0.646 Li
0.750 0.436 0.354 Li
0.750 0.894 0.653 La
0.750 0.712 0.017 La
0.250 0.106 0.347 La
0.250 0.288 0.983 La
0.250 0.675 0.323 In
0.750 0.325 0.677 In
0.250 0.886 0.894 Pt
0.750 0.114 0.106 Pt
```

Calculated values
DOS(E_F), states/eV per atom: 0.7250
Energy above the lowest structure with this stoichiometry, eV per atom: 0.000
Crystal system: monoclinic
Calculated formation energy, eV/atom: -0.658
SG: P2_1/m, No. 11


# LiLa2InPt6

A geometry-optimized LiLa2InPt6 structure (PBE-GGA, the Alexandria database).

```
LiLa2InPt6
1.0
-5.450 -0.955 1.032
-0.654 -4.517 -7.637
-2.164 -7.924 -3.419
Li La In Pt
1 2 1 6
direct
0.000 0.000 0.000 Li
0.296 0.704 0.408 La
0.704 0.296 0.592 La
0.500 0.500 0.000 In
0.242 0.758 0.007 Pt
0.751 0.758 0.007 Pt
0.242 0.249 0.515 Pt
0.758 0.242 0.993 Pt
0.249 0.242 0.993 Pt
0.758 0.751 0.485 Pt
```

Calculated values
DOS(E_F), states/eV per atom: 0.3573
Crystal system: trigonal
Calculated formation energy, eV/atom: -0.738
SG: R-3m, No. 166


# LiLa2InPt

A geometry-optimized LiLa2InPt structure (PBE-GGA, the Alexandria database).

```
LiLa2InPt
1.0
5.630 0.000 0.000
0.000 5.630 0.000
0.000 0.000 4.780
In Li Pt La
1 1 1 2
direct
0.500 0.500 0.500 In
0.000 0.000 0.500 Li
0.000 0.000 0.000 Pt
0.000 0.500 0.000 La
0.500 0.000 0.000 La
```

Calculated values
DOS(E_F), states/eV per atom: 0.7534
Energy above the lowest structure with this stoichiometry, eV per atom: 0.141
Crystal system: tetragonal
Calculated formation energy, eV/atom: -0.516
SG: P4/mmm, No. 123


# LiLaInPt3

A geometry-optimized LiLaInPt3 structure (PBE-GGA, the Alexandria database).

```
LiLaInPt3
1.0
7.063 0.000 0.000
0.000 5.800 0.000
0.000 -2.900 6.079
Li La In Pt
2 2 2 6
direct
0.250 0.920 0.841 Li
0.750 0.080 0.159 Li
0.750 0.334 0.668 La
0.250 0.666 0.332 La
0.250 0.368 0.737 In
0.750 0.632 0.263 In
0.250 0.149 0.298 Pt
0.000 0.249 0.000 Pt
0.500 0.751 0.000 Pt
0.500 0.249 0.000 Pt
0.000 0.751 0.000 Pt
0.750 0.851 0.702 Pt
```

Calculated values
DOS(E_F), states/eV per atom: 0.4219
Crystal system: orthorhombic
Calculated formation energy, eV/atom: -0.640
SG: Cmcm, No. 63


# LiLaPuIn

A geometry-optimized LiLaPuIn structure (PBE-GGA, the Alexandria database).

```
LiLaPuIn
1.0
5.437 0.000 0.000
2.718 4.708 0.000
2.718 1.569 4.439
La In Li Pu
1 1 1 1
direct
0.500 0.500 0.500 La
0.250 0.250 0.250 In
0.750 0.750 0.750 Li
0.000 0.000 0.000 Pu
```

Calculated values
DOS(E_F), states/eV per atom: 2.6754
Crystal system: cubic
Calculated formation energy, eV/atom: -0.032
SG: F-43m, No. 216